## Li3H9Rh4 (GGA-PBE)

Data for an optimized crystal structure of Li3H9Rh4.

Computed properties:
Calculated total energy = -4.315 eV/atom
Calculated volume = 8.3 A^3/atom

a b c (Å): 7.5066 7.5066 7.5066
angles (deg): 36.30 36.30 36.30
Fractional coordinates of all 16 atoms:
Li 0.0000 0.0000 0.0000
Li 0.1497 0.1497 0.1497
Li 0.5749 0.5749 0.5749
H 0.0322 0.1172 0.5753
H 0.1172 0.5753 0.0322
H 0.1681 0.6463 0.6216
H 0.5086 0.9820 0.5227
H 0.5227 0.5086 0.9820
H 0.5753 0.0322 0.1172
H 0.6216 0.1681 0.6463
H 0.6463 0.6216 0.1681
H 0.9820 0.5227 0.5086
Rh 0.2903 0.2903 0.2903
Rh 0.4256 0.4256 0.4256
Rh 0.7242 0.7242 0.7242
Rh 0.8593 0.8593 0.8593